Record 1
Compound: Mn5Fe5Si6
Source: Alexandria
Functional: meta-GGA SCAN
Structure: single point on PBEsol structure

Calculated values
SG = Amm2
Energy relative to the elements, uncorrected = -0.34 eV/atom
E_tot = -15.4653 eV/atom

a b c (Å): 4.571 6.643 6.720
angles (deg): 119.62 90.00 90.00
Site moments in Bohr magnetons follow the coordinates.
Atoms (fractional coordinates):
1 Mn 0.000 0.232 0.000  3.17
2 Mn 0.750 0.662 0.328  0.14
3 Mn 0.750 0.334 0.672  0.14
4 Mn 0.250 0.334 0.672  0.14
5 Mn 0.250 0.662 0.328  0.14
6 Fe 0.500 0.250 0.251  2.09
7 Fe 0.500 0.000 0.749  2.09
8 Fe 0.500 0.761 0.000  2.23
9 Fe 0.000 0.756 0.752  2.08
10 Fe 0.000 0.004 0.248  2.08
11 Si 0.500 0.610 0.610  -0.07
12 Si 0.500 0.001 0.390  -0.07
13 Si 0.500 0.390 0.000  -0.08
14 Si 0.000 0.396 0.402  -0.08
15 Si 0.000 0.994 0.598  -0.08
16 Si 0.000 0.615 0.000  -0.08



Record 2
Compound: MnFeSi4
Source: Alexandria
Functional: meta-GGA SCAN
Structure: single point on PBEsol structure

Calculated values
SG = P4/mmm
Energy relative to the elements, uncorrected = -0.31 eV/atom
E_tot = -13.0495 eV/atom

a b c (Å): 2.699 2.699 10.215
angles (deg): 90.00 90.00 90.00
Site moments in Bohr magnetons follow the coordinates.
Atoms (fractional coordinates):
1 Si 0.500 0.500 0.365  -0.02
2 Si 0.500 0.500 0.864  -0.01
3 Si 0.500 0.500 0.136  -0.01
4 Si 0.500 0.500 0.635  -0.02
5 Mn 0.000 0.000 0.500  0.72
6 Fe 0.000 0.000 0.000  0.05



Record 3
Compound: MnFe3Si8
Source: Alexandria
Functional: meta-GGA SCAN
Structure: single point on PBEsol structure

Calculated values
SG = P4/mmm
Energy relative to the elements, uncorrected = -0.31 eV/atom
E_tot = -13.0398 eV/atom

a b c (Å): 2.687 2.687 20.421
angles (deg): 90.00 90.00 90.00
Site moments in Bohr magnetons follow the coordinates.
Atoms (fractional coordinates):
1 Mn 0.000 0.000 0.000  0.71
2 Fe 0.000 0.000 0.251  -0.08
3 Fe 0.000 0.000 0.500  -0.14
4 Fe 0.000 0.000 0.749  -0.08
5 Si 0.500 0.500 0.182  0.00
6 Si 0.500 0.500 0.432  0.00
7 Si 0.500 0.500 0.682  0.00
8 Si 0.500 0.500 0.932  -0.02
9 Si 0.500 0.500 0.068  -0.02
10 Si 0.500 0.500 0.318  0.00
11 Si 0.500 0.500 0.568  0.00
12 Si 0.500 0.500 0.818  0.00



Record 4
Compound: Ta2MnFe
Source: Alexandria
Functional: meta-GGA SCAN
Structure: single point on PBEsol structure

Calculated values
SG = C2/m
E_tot = -42.3267 eV/atom

a b c (Å): 2.747 4.809 4.809
angles (deg): 110.50 100.19 100.19
Site moments in Bohr magnetons follow the coordinates.
Atoms (fractional coordinates):
1 Fe 0.500 0.000 0.000  1.99
2 Mn 0.500 0.500 0.500  2.00
3 Ta 0.000 0.500 0.000  -0.37
4 Ta 0.000 0.000 0.500  -0.37